# Pm3Si2Ge2

Crystalline Pm3Si2Ge2 at its relaxed geometry (PBE-GGA, Alexandria).

Properties
SG   C2/m
DFT total energy   -39.7 eV/cell
DOS(E_F)   3.643 states/eV/f.u.
Uncorrected formation energy   -0.764 eV per atom
Theoretical density   6603 kg/m³

Lattice parameters (Å, degrees): 4.2083 5.8714 7.6848 113.66 90.00 111.00
Closest atoms and distances in Å follow each position.
Atoms (fractional coordinates):
Ge (0.9662, 0.9323, 0.6616)  1 Si 2.45
Ge (0.0338, 0.0677, 0.3384)  1 Si 2.45
Pm (0.6837, 0.3674, 0.6414)  3 Si 3.00, 5 Ge 3.03-3.23
Si (0.1945, 0.3890, 0.9261)  2 Si 2.45, 1 Ge 2.45
Pm (0.3163, 0.6326, 0.3586)  3 Si 3.00, 5 Ge 3.03-3.23
Pm (0.5000, 0.0000, 0.0000)  6 Si 3.15-3.22, 4 Ge 3.24
Si (0.8055, 0.6110, 0.0739)  2 Si 2.45, 1 Ge 2.45

# Pm5Si2Ge

Crystalline Pm5Si2Ge at its relaxed geometry (PBE-GGA, Alexandria).

Properties
SG   I4/mcm
DFT total energy   -88.8 eV/cell
DOS(E_F)   8.343 states/eV/f.u.
Uncorrected formation energy   -0.650 eV per atom
Theoretical density   6744 kg/m³

Lattice parameters (Å, degrees): 7.7710 7.7710 8.8699 115.98 115.98 90.00
Closest atoms and distances in Å follow each position.
Atoms (fractional coordinates):
Si (0.1177, 0.3823, 0.0000)  1 Si 2.59
Pm (0.1799, 0.0312, 0.7111)  3 Si 3.03-3.07, 2 Ge 3.22, 1 Pm 3.36
Si (0.8823, 0.6177, 0.0000)  1 Si 2.59
Pm (0.4688, 0.3201, 0.2889)  3 Si 3.03-3.07, 2 Ge 3.22, 1 Pm 3.36
Si (0.3823, 0.8823, 0.0000)  1 Si 2.59
Pm (0.6799, 0.1799, 0.7111)  3 Si 3.03-3.07, 2 Ge 3.22, 1 Pm 3.36
Ge (0.2500, 0.2500, 0.5000)  10 Pm 3.22-3.48
Pm (0.9688, 0.4688, 0.2889)  3 Si 3.03-3.07, 2 Ge 3.22, 1 Pm 3.36
Pm (0.5000, 0.5000, 0.0000)  4 Si 3.11
Pm (0.8201, 0.9688, 0.2889)  3 Si 3.03-3.07, 2 Ge 3.22, 1 Pm 3.36
Ge (0.7500, 0.7500, 0.5000)  10 Pm 3.22-3.48
Si (0.6177, 0.1177, 0.0000)  1 Si 2.59
Pm (0.5312, 0.6799, 0.7111)  3 Si 3.03-3.07, 2 Ge 3.22, 1 Pm 3.36
Pm (0.0000, 0.0000, 0.0000)  4 Si 3.11
Pm (0.3201, 0.8201, 0.2889)  3 Si 3.03-3.07, 2 Ge 3.22, 1 Pm 3.36
Pm (0.0312, 0.5312, 0.7111)  3 Si 3.03-3.07, 2 Ge 3.22, 1 Pm 3.36

# Pm3Si4Ge

Crystalline Pm3Si4Ge at its relaxed geometry (PBE-GGA, Alexandria).

Properties
SG   Cmmm
DFT total energy   -45.5 eV/cell
DOS(E_F)   3.793 states/eV/f.u.
Uncorrected formation energy   -0.617 eV per atom
Theoretical density   5866 kg/m³

Lattice parameters (Å, degrees): 4.2678 4.1039 11.0334 111.80 101.15 90.00
Closest atoms and distances in Å follow each position.
Atoms (fractional coordinates):
Si (0.7216, 0.9432, 0.4433)  3 Si 2.34-2.42
Pm (0.1621, 0.3239, 0.3242)  10 Si 3.10-3.19
Si (0.6046, 0.7083, 0.2093)  1 Si 2.34
Si (0.3954, 0.2917, 0.7907)  1 Si 2.34
Pm (0.0000, 0.5000, 0.0000)  4 Ge 2.96, 4 Si 2.99
Ge (0.5000, 0.0000, 0.0000)  4 Si 2.93-2.94, 4 Pm 2.96
Si (0.2784, 0.0568, 0.5567)  3 Si 2.34-2.42
Pm (0.8379, 0.6761, 0.6758)  10 Si 3.10-3.19

# Pm4Si5Ge3

Crystalline Pm4Si5Ge3 at its relaxed geometry (PBE-GGA, Alexandria).

Properties
SG   C2/m
DFT total energy   -63.6 eV/cell
DOS(E_F)   3.903 states/eV/f.u.
Uncorrected formation energy   -0.299 eV per atom
Theoretical density   5354 kg/m³

Lattice parameters (Å, degrees): 4.4937 7.5912 9.2216 83.12 75.90 72.78
Closest atoms and distances in Å follow each position.
Atoms (fractional coordinates):
Si (0.5000, 0.5000, 0.5000)  2 Ge 2.25
Ge (0.5737, 0.1824, 0.6701)  1 Si 2.40
Pm (0.2415, 0.8604, 0.6567)  3 Ge 2.96-3.25, 5 Si 3.03-3.09
Si (0.5828, 0.9576, 0.8767)  2 Si 2.30-2.32, 1 Ge 2.40
Si (0.4172, 0.0424, 0.1233)  2 Si 2.30-2.32, 1 Ge 2.40
Pm (0.0955, 0.7368, 0.0723)  7 Si 2.89-3.22
Ge (0.0000, 0.5000, 0.5000)  2 Si 2.25
Si (0.7607, 0.6492, 0.8294)  1 Si 2.30
Si (0.2393, 0.3508, 0.1706)  1 Si 2.30
Ge (0.4263, 0.8176, 0.3299)  1 Si 2.40
Pm (0.7585, 0.1396, 0.3433)  3 Ge 2.96-3.25, 5 Si 3.03-3.09
Pm (0.9045, 0.2632, 0.9277)  7 Si 2.89-3.22

# Pm8SiGe3

Crystalline Pm8SiGe3 at its relaxed geometry (PBE-GGA, Alexandria).

Properties
SG   I4/mmm
DFT total energy   -63.5 eV/cell
DOS(E_F)   13.600 states/eV/f.u.
Uncorrected formation energy   -0.517 eV per atom
Theoretical density   6532 kg/m³

Lattice parameters (Å, degrees): 7.0962 7.0962 8.6923 114.09 114.09 90.00
Closest atoms and distances in Å follow each position.
Atoms (fractional coordinates):
Pm (0.6272, 0.6272, 0.7517)  1 Si 3.06, 3 Ge 3.08
Pm (0.6272, 0.1245, 0.7517)  1 Si 3.06, 3 Ge 3.08
Ge (0.5000, 0.5000, 0.0000)  8 Pm 3.08
Pm (0.8755, 0.3728, 0.2483)  1 Si 3.06, 3 Ge 3.08
Pm (0.3728, 0.3728, 0.2483)  1 Si 3.06, 3 Ge 3.08
Pm (0.1245, 0.1245, 0.7517)  1 Si 3.06, 3 Ge 3.08
Ge (0.2500, 0.7500, 0.5000)  8 Pm 3.08
Ge (0.7500, 0.2500, 0.5000)  8 Pm 3.08
Pm (0.1245, 0.6272, 0.7517)  1 Si 3.06, 3 Ge 3.08
Pm (0.3728, 0.8755, 0.2483)  1 Si 3.06, 3 Ge 3.08
Si (0.0000, 0.0000, 0.0000)  8 Pm 3.06
Pm (0.8755, 0.8755, 0.2483)  1 Si 3.06, 3 Ge 3.08

# Pm7SiGe2

Crystalline Pm7SiGe2 at its relaxed geometry (PBE-GGA, Alexandria).

Properties
SG   P3m1
DFT total energy   -51.5 eV/cell
DOS(E_F)   11.659 states/eV/f.u.
Uncorrected formation energy   -0.363 eV per atom
Theoretical density   6909 kg/m³

Lattice parameters (Å, degrees): 5.1561 5.1561 12.4056 90.00 90.00 120.00
Closest atoms and distances in Å follow each position.
Atoms (fractional coordinates):
Pm (0.0000, 0.0000, 0.2641)  3 Ge 3.17, 1 Si 3.26, 3 Pm 3.50
Pm (0.3333, 0.6667, 0.9757)  3 Si 2.99, 3 Pm 3.33
Pm (0.6667, 0.3333, 0.8546)  8 Pm 3.24-3.33, 3 Si 3.49, 3 Ge 3.55
Pm (0.6667, 0.3333, 0.1160)  1 Ge 2.92, 1 Pm 3.24
Si (0.0000, 0.0000, 0.0014)  8 Pm 2.99-3.30
Pm (0.6667, 0.3333, 0.5868)  1 Ge 2.92
Pm (0.3333, 0.6667, 0.4304)  4 Ge 3.13-3.33
Ge (0.3333, 0.6667, 0.6986)  7 Pm 3.02-3.33
Ge (0.6667, 0.3333, 0.3517)  8 Pm 2.92-3.17
Pm (0.0000, 0.0000, 0.7372)  3 Ge 3.02, 1 Si 3.28, 3 Pm 3.31

# PmSiGe3

Crystalline PmSiGe3 at its relaxed geometry (PBE-GGA, Alexandria).

Properties
SG   P2_1/c
DFT total energy   -99.0 eV/cell
DOS(E_F)   2.153 states/eV/f.u.
Uncorrected formation energy   -0.143 eV per atom
Theoretical density   6112 kg/m³

Lattice parameters (Å, degrees): 9.0647 8.7707 6.2425 90.00 90.00 121.11
Closest atoms and distances in Å follow each position.
Atoms (fractional coordinates):
Pm (0.0888, 0.1769, 0.7501)  8 Ge 3.07-3.40, 2 Si 3.10
Si (0.1270, 0.7555, 0.9207)  6 Ge 2.56-2.81
Pm (0.5888, 0.1769, 0.7499)  8 Ge 3.07-3.40, 2 Si 3.10
Ge (0.3218, 0.6453, 0.7509)  2 Si 2.64, 2 Ge 2.70
Ge (0.9766, 0.4534, 0.7057)  2 Si 2.64-2.81, 3 Ge 2.66-2.70
Ge (0.2886, 0.0766, 0.0598)  2 Si 2.56-2.58
Si (0.8730, 0.2445, 0.0793)  6 Ge 2.56-2.81
Ge (0.5234, 0.5466, 0.2057)  2 Si 2.64-2.81, 3 Ge 2.66-2.70
Si (0.3730, 0.2445, 0.4207)  6 Ge 2.56-2.81
Ge (0.4766, 0.4534, 0.7943)  2 Si 2.64-2.81, 3 Ge 2.66-2.70
Si (0.6270, 0.7555, 0.5793)  6 Ge 2.56-2.81
Ge (0.7886, 0.0766, 0.4402)  2 Si 2.56-2.58
Pm (0.9112, 0.8231, 0.2499)  8 Ge 3.07-3.40, 2 Si 3.10
Ge (0.0234, 0.5466, 0.2943)  2 Si 2.64-2.81, 3 Ge 2.66-2.70
Ge (0.2114, 0.9234, 0.5598)  2 Si 2.56-2.58
Ge (0.1782, 0.3547, 0.2509)  2 Si 2.64, 2 Ge 2.70
Ge (0.7114, 0.9234, 0.9402)  2 Si 2.56-2.58
Pm (0.4112, 0.8231, 0.2501)  8 Ge 3.07-3.40, 2 Si 3.10
Ge (0.8218, 0.6453, 0.7491)  2 Si 2.64, 2 Ge 2.70
Ge (0.6782, 0.3547, 0.2491)  2 Si 2.64, 2 Ge 2.70

# Pm6SiGe3

Crystalline Pm6SiGe3 at its relaxed geometry (PBE-GGA, Alexandria).

Properties
SG   R-3
DFT total energy   -106.3 eV/cell
DOS(E_F)   7.138 states/eV/f.u.
Uncorrected formation energy   -0.535 eV per atom
Theoretical density   5972 kg/m³

Lattice parameters (Å, degrees): 8.6756 8.6756 8.6756 99.79 99.79 99.79
Closest atoms and distances in Å follow each position.
Atoms (fractional coordinates):
Pm (0.8147, 0.4347, 0.5793)  1 Si 2.88, 3 Ge 2.99-3.09
Si (0.0000, 0.0000, 0.0000)  6 Pm 2.91
Pm (0.4347, 0.5793, 0.8147)  1 Si 2.88, 3 Ge 2.99-3.09
Ge (0.3884, 0.8783, 0.7008)  5 Pm 2.93-3.09
Pm (0.5653, 0.4207, 0.1853)  1 Si 2.88, 3 Ge 2.99-3.09
Pm (0.0562, 0.9325, 0.6762)  1 Si 2.91, 2 Ge 2.93-2.98
Pm (0.5793, 0.8147, 0.4347)  1 Si 2.88, 3 Ge 2.99-3.09
Ge (0.2992, 0.6116, 0.1217)  5 Pm 2.93-3.09
Si (0.5000, 0.5000, 0.5000)  6 Pm 2.88
Pm (0.9438, 0.0675, 0.3238)  1 Si 2.91, 2 Ge 2.93-2.98
Pm (0.6762, 0.0562, 0.9325)  1 Si 2.91, 2 Ge 2.93-2.98
Ge (0.1217, 0.2992, 0.6116)  5 Pm 2.93-3.09
Pm (0.1853, 0.5653, 0.4207)  1 Si 2.88, 3 Ge 2.99-3.09
Ge (0.8783, 0.7008, 0.3884)  5 Pm 2.93-3.09
Ge (0.7008, 0.3884, 0.8783)  5 Pm 2.93-3.09
Pm (0.3238, 0.9438, 0.0675)  1 Si 2.91, 2 Ge 2.93-2.98
Pm (0.9325, 0.6762, 0.0562)  1 Si 2.91, 2 Ge 2.93-2.98
Pm (0.0675, 0.3238, 0.9438)  1 Si 2.91, 2 Ge 2.93-2.98
Pm (0.4207, 0.1853, 0.5653)  1 Si 2.88, 3 Ge 2.99-3.09
Ge (0.6116, 0.1217, 0.2992)  5 Pm 2.93-3.09

# Pm4Si2Ge

Crystalline Pm4Si2Ge at its relaxed geometry (PBE-GGA, Alexandria).

Properties
SG   R-3m
DFT total energy   -38.4 eV/cell
DOS(E_F)   2.125 states/eV/f.u.
Uncorrected formation energy   -0.569 eV per atom
Theoretical density   6041 kg/m³

Lattice parameters (Å, degrees): 4.7279 4.7279 10.4278 76.90 76.90 60.00
Closest atoms and distances in Å follow each position.
Atoms (fractional coordinates):
Si (0.0945, 0.0945, 0.7165)  1 Ge 2.85, 6 Pm 2.94-3.10
Pm (0.3790, 0.3790, 0.8631)  3 Ge 3.06, 3 Si 3.10
Ge (0.0000, 0.0000, 0.0000)  2 Si 2.85, 6 Pm 3.06
Pm (0.6210, 0.6210, 0.1369)  3 Ge 3.06, 3 Si 3.10
Si (0.9055, 0.9055, 0.2835)  1 Ge 2.85, 6 Pm 2.94-3.10
Pm (0.7971, 0.7971, 0.6088)  4 Si 2.94-3.27
Pm (0.2029, 0.2029, 0.3912)  4 Si 2.94-3.27

# Pm3Si3Ge2

Crystalline Pm3Si3Ge2 at its relaxed geometry (PBE-GGA, Alexandria).

Properties
SG   Cmcm
DFT total energy   -89.3 eV/cell
DOS(E_F)   3.859 states/eV/f.u.
Uncorrected formation energy   -0.611 eV per atom
Theoretical density   6221 kg/m³

Lattice parameters (Å, degrees): 4.1740 5.8355 15.5976 90.00 90.00 110.96
Closest atoms and distances in Å follow each position.
Atoms (fractional coordinates):
Pm (0.4270, 0.8540, 0.7500)  5 Si 2.98-3.23, 4 Ge 3.01
Pm (0.5730, 0.1460, 0.2500)  5 Si 2.98-3.23, 4 Ge 3.01
Pm (0.1379, 0.2758, 0.5884)  4 Ge 3.12-3.30, 7 Si 3.14-3.34
Pm (0.8621, 0.7242, 0.4116)  4 Ge 3.12-3.30, 7 Si 3.14-3.34
Ge (0.1546, 0.3092, 0.3771)  3 Si 2.51-2.53
Pm (0.8621, 0.7242, 0.0884)  4 Ge 3.12-3.30, 7 Si 3.14-3.34
Si (0.4275, 0.8550, 0.5551)  1 Si 2.34, 2 Ge 2.51
Pm (0.1379, 0.2758, 0.9116)  4 Ge 3.12-3.30, 7 Si 3.14-3.34
Si (0.5725, 0.1450, 0.4449)  1 Si 2.34, 2 Ge 2.51
Si (0.2991, 0.5983, 0.2500)  2 Ge 2.53
Ge (0.8454, 0.6908, 0.8771)  3 Si 2.51-2.53
Si (0.4275, 0.8550, 0.9449)  1 Si 2.34, 2 Ge 2.51
Si (0.7009, 0.4017, 0.7500)  2 Ge 2.53
Si (0.5725, 0.1450, 0.0551)  1 Si 2.34, 2 Ge 2.51
Ge (0.8454, 0.6908, 0.6229)  3 Si 2.51-2.53
Ge (0.1546, 0.3092, 0.1229)  3 Si 2.51-2.53